DFT (PBE) results for an optimized crystal structure of SrEuP2Pt2.

a = 4.1201 Å, b = 4.1201 Å, c = 8.8393 Å
α = 90.00°, β = 90.00°, γ = 120.00°
With the nearest neighbours (Å) after each atom.
Space group P-3m1 (No. 164)
Symmetry-distinct sites (fractional):
Sr 0.0000 0.0000 0.0000  6 Pt 3.28, 6 P 3.31
Eu 0.0000 0.0000 0.5000  6 P 3.19, 6 Pt 3.21
P 0.3333 0.6667 0.7397  3 Pt 2.38
Pt 0.3333 0.6667 0.2557  3 P 2.38

Values from the calculation:
Electronic total energy in eV per atom: -6.9535
Formation energy in eV per atom: -1.14
Total magnetization in μB per formula unit: 6.7

DFT (PBE) results for an optimized crystal structure of PrEu2Ga.

a = 3.7339 Å, b = 3.7339 Å, c = 9.2756 Å
α = 90.00°, β = 90.00°, γ = 90.00°
With the nearest neighbours (Å) after each atom.
Space group P4/mmm (No. 123)
Symmetry-distinct sites (fractional):
Pr 0.0000 0.0000 0.0000  4 Pr 3.73, 8 Eu 3.86
Eu 0.5000 0.5000 0.3033  4 Ga 3.21
Ga 0.0000 0.0000 0.5000  8 Eu 3.21

Values from the calculation:
Electronic total energy in eV per atom: -7.2795
Formation energy in eV per atom: -0.19
Total magnetization in μB per formula unit: 14.4

DFT (PBE) results for an optimized crystal structure of FeSiC2.

a = 3.0326 Å, b = 3.0326 Å, c = 15.2780 Å
α = 90.00°, β = 90.00°, γ = 120.00°
With the nearest neighbours (Å) after each atom.
Space group R3m (No. 160, hexagonal axes)
Symmetry-distinct sites (fractional):
Fe 0.0000 0.0000 0.0000  4 C 1.83-2.01
Si 0.0000 0.0000 0.8354  3 C 1.84
C 0.0000 0.0000 0.1315  3 Si 1.84, 1 Fe 2.01
C 0.0000 0.0000 0.6313  3 Fe 1.83

Values from the calculation:
Energy relative to the elements, uncorrected in meV per atom: 470
Electronic total energy in eV per atom: -7.6132
Total magnetization in μB per formula unit: 0.0

DFT (PBE) results for an optimized crystal structure of Hf5Ni2Sb.

a = 7.0786 Å, b = 7.0786 Å, c = 12.4596 Å
α = 90.00°, β = 90.00°, γ = 90.00°
With the nearest neighbours (Å) after each atom.
Space group I4/mcm (No. 140)
Symmetry-distinct sites (fractional):
Hf 0.0000 0.0000 0.0000  4 Ni 2.79, 2 Sb 3.11
Hf 0.1568 0.3432 0.1358  3 Ni 2.64-2.74
Ni 0.1274 0.3726 0.5000  1 Ni 2.55, 8 Hf 2.64-2.79
Sb 0.0000 0.0000 0.2500  10 Hf 3.03-3.11

Values from the calculation:
Energy relative to the elements, uncorrected in meV per atom: -395
Electronic total energy in eV per atom: -8.5766
Total magnetization in μB per formula unit: 0.0

DFT (PBE) results for an optimized crystal structure of RbCa2DyBr8.

a = 6.7549 Å, b = 9.1898 Å, c = 7.0732 Å
α = 90.00°, β = 90.63°, γ = 90.00°
With the nearest neighbours (Å) after each atom.
Space group P2/m (No. 10)
Symmetry-distinct sites (fractional):
Rb 0.0000 0.0000 0.0000  6 Br 3.28-3.33
Ca 0.5000 0.2483 0.5000  6 Br 2.89-3.09
Dy 0.0000 0.5000 0.0000  6 Br 2.79-2.91
Br 0.2428 0.2889 0.1665  1 Dy 2.79, 1 Ca 2.94
Br 0.2586 0.5000 0.6742  1 Dy 2.91, 2 Ca 3.09
Br 0.2710 0.0000 0.6188  2 Ca 2.89

Values from the calculation:
Energy relative to the elements, uncorrected in meV per atom: -1895
Electronic total energy in eV per atom: -3.8078
Total magnetization in μB per formula unit: 0.0

DFT (PBE) results for an optimized crystal structure of La2Pm6SmHo3.

a = 6.3022 Å, b = 10.9213 Å, c = 12.0366 Å
α = 90.00°, β = 100.07°, γ = 90.00°
With the nearest neighbours (Å) after each atom.
Space group C2/m (No. 12)
Symmetry-distinct sites (fractional):
La 0.0000 0.1665 0.0000  3 La 3.64, 3 Sm 3.64, 6 Pm 3.69
Pm 0.2468 0.5000 0.7444  3 Ho 3.57-3.58, 6 Pm 3.63-3.64, 1 Sm 3.68, 2 La 3.69
Pm 0.2479 0.1663 0.7444  3 Ho 3.58, 6 Pm 3.63-3.64, 1 Sm 3.68, 2 La 3.69
Sm 0.0000 0.5000 0.0000  6 La 3.64, 6 Pm 3.68
Ho 0.0000 0.0000 0.5000  6 Pm 3.58, 6 Ho 3.64
Ho 0.0000 0.3336 0.5000  6 Pm 3.57-3.58, 6 Ho 3.64

Values from the calculation:
Electronic total energy in eV per atom: -4.7141
Formation energy in eV per atom: 0.02
Total magnetization in μB per formula unit: 0.0

DFT (PBE) results for an optimized crystal structure of MnOs3Au.

a = 4.4243 Å, b = 4.4243 Å, c = 4.4243 Å
α = 90.00°, β = 90.00°, γ = 90.00°
With the nearest neighbours (Å) after each atom.
Space group Pm-3m (No. 221)
Symmetry-distinct sites (fractional):
Mn 0.0000 0.0000 0.0000  6 Os 2.21
Os 0.0000 0.0000 0.5000  2 Mn 2.21
Au 0.5000 0.5000 0.5000  12 Os 3.13

Values from the calculation:
Electronic total energy in eV per atom: -7.4952
Formation energy in eV per atom: 1.73
Total magnetization in μB per formula unit: 1.1

DFT (PBE) results for an optimized crystal structure of AlFeSb2.

a = 6.4059 Å, b = 3.7095 Å, c = 7.4551 Å
α = 90.00°, β = 106.75°, γ = 90.00°
With the nearest neighbours (Å) after each atom.
Space group C2/m (No. 12)
Symmetry-distinct sites (fractional):
Al 0.0000 0.0000 0.0000  6 Sb 2.91
Fe 0.0000 0.5000 0.5000  6 Sb 2.67
Sb 0.2420 0.0000 0.7238  3 Fe 2.67, 3 Al 2.91

Values from the calculation:
Energy relative to the elements, uncorrected in meV per atom: 200
Electronic total energy in eV per atom: -4.9124
Total magnetization in μB per formula unit: 2.3

DFT (PBE) results for an optimized crystal structure of LaGe2Rh3.

a = 15.3964 Å, b = 4.1859 Å, c = 7.6168 Å
α = 90.00°, β = 115.59°, γ = 90.00°
With the nearest neighbours (Å) after each atom.
Space group C2/m (No. 12)
Symmetry-distinct sites (fractional):
La 0.1564 0.0000 0.0792  8 Rh 3.22-3.46, 7 Ge 3.24-3.46
Ge 0.0167 0.5000 0.1812  4 Rh 2.43-2.44, 1 Ge 2.58
Ge 0.1802 0.0000 0.6484  6 Rh 2.44-2.66
Rh 0.0289 0.0000 0.3521  3 Ge 2.43-2.44
Rh 0.1120 0.5000 0.7131  3 Ge 2.44-2.48
Rh 0.1811 0.5000 0.4338  4 Ge 2.43-2.66

Values from the calculation:
Electronic total energy in eV per atom: -6.7836
Formation energy in eV per atom: -0.75
Total magnetization in μB per formula unit: 0.0